No. 1
Below is a relaxed KCd2Ga4 crystal, with properties calculated at the PBE-GGA level.

Calculated values
- volume (Å³/atom) = 23.9

a = 9.0666 Å, b = 9.0666 Å, c = 9.0666 Å
α = 152.42°, β = 150.91°, γ = 40.52°
Sites, in units of the cell vectors:
K1 0.0000 0.0000 0.0000
Cd1 0.1815 0.6815 0.5000
Cd2 0.8185 0.3185 0.5000
Ga1 0.3402 0.8402 0.5000
Ga2 0.4235 0.4235 0.0000
Ga3 0.5765 0.5765 0.0000
Ga4 0.6598 0.1598 0.5000

No. 2
Below is a relaxed K2Cd17Ga3 crystal, with properties calculated at the PBE-GGA level.

Calculated values
- volume (Å³/atom) = 26.1

a = 8.3547 Å, b = 8.3547 Å, c = 8.3547 Å
α = 84.15°, β = 84.15°, γ = 84.15°
Sites, in units of the cell vectors:
K1 0.1463 0.1463 0.1463
K2 0.8537 0.8537 0.8537
Cd1 0.0000 0.5000 0.5000
Cd2 0.1685 0.1685 0.6843
Cd3 0.1685 0.6843 0.1685
Cd4 0.2418 0.5000 0.7582
Cd5 0.2418 0.7582 0.5000
Cd6 0.3157 0.8315 0.8315
Cd7 0.3790 0.3790 0.3790
Cd8 0.5000 0.0000 0.5000
Cd9 0.5000 0.2418 0.7582
Cd10 0.5000 0.5000 0.0000
Cd11 0.5000 0.7582 0.2418
Cd12 0.6210 0.6210 0.6210
Cd13 0.6843 0.1685 0.1685
Cd14 0.7582 0.2418 0.5000
Cd15 0.7582 0.5000 0.2418
Cd16 0.8315 0.3157 0.8315
Cd17 0.8315 0.8315 0.3157
Ga1 0.0000 0.0000 0.5000
Ga2 0.0000 0.5000 0.0000
Ga3 0.5000 0.0000 0.0000

no.,ΔE_f (meV per atom)
1,-16
2,71